# Ac3LaB4O12 PBE-GGA optimized geometry
# total energy = -0.6031 Ry per atom
data_Ac3LaB4O12
_cell_length_a 6.881
_cell_length_b 6.881
_cell_length_c 6.881
_cell_angle_alpha 100.65
_cell_angle_beta 100.65
_cell_angle_gamma 100.65
_symmetry_space_group_name_H-M 'P 1'
_symmetry_Int_Tables_number 1
loop_
_symmetry_equiv_pos_as_xyz
'x,y,z'
loop_
_atom_site_label
_atom_site_fract_x
_atom_site_fract_y
_atom_site_fract_z
_atom_site_occupancy
Ac1 0.516 0.484 0.000 1
Ac2 0.484 0.000 0.516 1
Ac3 0.000 0.516 0.484 1
La1 0.000 0.000 0.000 1
B1 0.982 0.018 0.500 1
B2 0.018 0.500 0.982 1
B3 0.500 0.982 0.018 1
B4 0.500 0.500 0.500 1
O1 0.500 0.370 0.630 1
O2 0.888 0.500 0.112 1
O3 0.112 0.888 0.500 1
O4 0.500 0.112 0.888 1
O5 0.359 0.977 0.141 1
O6 0.141 0.359 0.977 1
O7 0.977 0.141 0.359 1
O8 0.641 0.859 0.023 1
O9 0.023 0.641 0.859 1
O10 0.859 0.023 0.641 1
O11 0.630 0.500 0.370 1
O12 0.370 0.630 0.500 1